(1)
CsGeH2Rh (PBE-GGA, relaxed); polymorph energy (0 for the lowest one) = 182.6 meV per atom; M_tot = 0.0 μB per formula unit
1.0
7.048 -1.858 0.000
7.048 1.858 0.000
-0.072 0.000 3.174
Cs Ge H Rh
1 1 2 1
Cartesian
0.000 0.000 0.000
10.069 0.000 1.659
4.881 0.000 1.686
8.404 0.000 1.619
3.895 0.000 0.097


(2)
CsGeH2Rh (PBE-GGA, relaxed); polymorph energy (0 for the lowest one) = 159.4 meV per atom; M_tot = 0.0 μB per formula unit
1.0
4.440 -1.633 0.000
4.440 1.633 0.000
-2.785 0.000 6.252
Cs Ge H Rh
1 1 2 1
Cartesian
0.000 0.000 0.000
2.567 0.000 3.078
2.505 0.000 1.441
5.138 0.000 3.214
0.048 0.000 3.450


(3)
CsGeH2Rh (PBE-GGA, relaxed); polymorph energy (0 for the lowest one) = 152.2 meV per atom; M_tot = 0.0 μB per formula unit
1.0
3.449 0.000 0.000
1.716 4.116 0.000
1.716 1.600 6.771
Cs Ge H Rh
1 1 2 1
Cartesian
0.000 0.000 0.000
5.143 4.189 3.785
1.706 2.131 2.855
3.426 2.412 1.556
3.433 2.453 3.187


Computed D(E_F) (states/eV per cell) in order:
1.8 0.7 1.0